Computed, not measured: a crystal of Ni2IrOs relaxed with PBEsol at the SCAN level of DFT.

Results
space group = I-4m2 (119)
calculated volume = 12.21 Å³ per atom
energy relative to the elements = 0.06 eV/f.u.
energy relative to the lowest polymorph listed for this composition = 0 meV/atom
total energy = -43.817 eV per atom

abc: 3.614 3.614 4.529
angles: 113.51 113.51 90.00
Fractional positions:
Ni 0.000 0.000 0.000
Ni 0.750 0.250 0.500
Ir 0.250 0.750 0.500
Os 0.500 0.500 0.000